Record 1
VASP calculation (PBE) on an optimized crystal structure of Pm3GaBrCl.

Computed properties:
Its density of states at the Fermi level is 5.09 states/eV/f.u. As for the uncorrected formation energy: -1.115 eV/atom. The calculation puts the total magnetization at 0.002 μB/cell. As for the raw total energy: -27.5 eV per formula unit. Its symmetry is P2_1/m (11).

```
data_Pm3GaBrCl
_cell_length_a 9.161
_cell_length_b 3.980
_cell_length_c 9.610
_cell_angle_alpha 90.00
_cell_angle_beta 103.39
_cell_angle_gamma 90.00
_space_group_name_H-M_alt 'P 1'
_space_group_IT_number 1
loop_
_space_group_symop_operation_xyz
'x,y,z'
loop_
_atom_site_label
_atom_site_type_symbol
_atom_site_fract_x
_atom_site_fract_y
_atom_site_fract_z
Pm1 Pm 0.146 0.250 0.097
Pm2 Pm 0.150 0.250 0.473
Pm3 Pm 0.300 0.750 0.820
Pm4 Pm 0.700 0.250 0.180
Pm5 Pm 0.850 0.750 0.527
Pm6 Pm 0.854 0.750 0.903
Ga1 Ga 0.044 0.250 0.759
Ga2 Ga 0.956 0.750 0.241
Br1 Br 0.415 0.750 0.142
Br2 Br 0.585 0.250 0.858
Cl1 Cl 0.371 0.750 0.556
Cl2 Cl 0.629 0.250 0.444
```

---

Record 2
VASP calculation (PBE) on an optimized crystal structure of PrNd6Ho4.

Computed properties:
For the energy above the most stable polymorph in this dataset, the calculation gives 0.000 eV per atom. Its density of states at the Fermi level is 17.72 states/eV/f.u. The calculation puts the total magnetization at 0.000 μB/cell. As for the raw total energy: -48.5 eV per formula unit. Its symmetry is I-42m (121).

```
data_PrNd6Ho4
_cell_length_a 10.001
_cell_length_b 10.001
_cell_length_c 10.001
_cell_angle_alpha 141.57
_cell_angle_beta 141.57
_cell_angle_gamma 55.48
_space_group_name_H-M_alt 'P 1'
_space_group_IT_number 1
loop_
_space_group_symop_operation_xyz
'x,y,z'
loop_
_atom_site_label
_atom_site_type_symbol
_atom_site_fract_x
_atom_site_fract_y
_atom_site_fract_z
Pr1 Pr 0.000 0.000 0.000
Nd1 Nd 0.000 0.500 0.500
Nd2 Nd 0.185 0.542 0.000
Nd3 Nd 0.458 0.458 0.643
Nd4 Nd 0.500 0.000 0.500
Nd5 Nd 0.542 0.185 0.000
Nd6 Nd 0.815 0.815 0.357
Ho1 Ho 0.009 0.009 0.370
Ho2 Ho 0.361 0.991 0.000
Ho3 Ho 0.639 0.639 0.630
Ho4 Ho 0.991 0.361 0.000
```

---

Record 3
VASP calculation (PBE) on an optimized crystal structure of Hg4AsOs.

Computed properties:
Its density of states at the Fermi level is 2.25 states/eV/f.u. The calculation puts the total magnetization at 0.000 μB/cell. As for the raw total energy: -10.7 eV per formula unit. Its symmetry is F-43m (216).

```
data_Hg4AsOs
_cell_length_a 5.640
_cell_length_b 5.640
_cell_length_c 5.640
_cell_angle_alpha 60.00
_cell_angle_beta 60.00
_cell_angle_gamma 60.00
_space_group_name_H-M_alt 'P 1'
_space_group_IT_number 1
loop_
_space_group_symop_operation_xyz
'x,y,z'
loop_
_atom_site_label
_atom_site_type_symbol
_atom_site_fract_x
_atom_site_fract_y
_atom_site_fract_z
Hg1 Hg 0.125 0.125 0.125
Hg2 Hg 0.125 0.125 0.626
Hg3 Hg 0.125 0.626 0.125
Hg4 Hg 0.626 0.125 0.125
As1 As 0.500 0.500 0.500
Os1 Os 0.750 0.750 0.750
```

---

Record 4
VASP calculation (PBE) on an optimized crystal structure of Cs6KRb3.

Computed properties:
Its density of states at the Fermi level is 10.91 states/eV/f.u. The calculation puts the total magnetization at 0.000 μB/cell. As for the raw total energy: -8.7 eV per formula unit. Its symmetry is P-31m (162).

```
data_Cs6KRb3
_cell_length_a 9.682
_cell_length_b 9.682
_cell_length_c 13.286
_cell_angle_alpha 90.00
_cell_angle_beta 90.00
_cell_angle_gamma 120.00
_space_group_name_H-M_alt 'P 1'
_space_group_IT_number 1
loop_
_space_group_symop_operation_xyz
'x,y,z'
loop_
_atom_site_label
_atom_site_type_symbol
_atom_site_fract_x
_atom_site_fract_y
_atom_site_fract_z
Cs1 Cs 0.000 0.389 0.310
Cs2 Cs 0.000 0.611 0.690
Cs3 Cs 0.389 0.000 0.310
Cs4 Cs 0.389 0.389 0.690
Cs5 Cs 0.611 0.000 0.690
Cs6 Cs 0.611 0.611 0.310
K1 K 0.000 0.000 0.500
Rb1 Rb 0.000 0.000 0.000
Rb2 Rb 0.333 0.667 0.000
Rb3 Rb 0.667 0.333 0.000
```

---

Record 5
VASP calculation (PBE) on an optimized crystal structure of YBiAs2Ir.

Computed properties:
For the energy above the most stable polymorph in this dataset, the calculation gives 1.393 eV per atom. Its density of states at the Fermi level is 6.17 states/eV/f.u. The calculation puts the total magnetization at 1.126 μB/cell. As for the raw total energy: -21.2 eV per formula unit. Its symmetry is P4/mmm (123).

```
data_YBiAs2Ir
_cell_length_a 5.250
_cell_length_b 5.250
_cell_length_c 5.793
_cell_angle_alpha 90.00
_cell_angle_beta 90.00
_cell_angle_gamma 90.00
_space_group_name_H-M_alt 'P 1'
_space_group_IT_number 1
loop_
_space_group_symop_operation_xyz
'x,y,z'
loop_
_atom_site_label
_atom_site_type_symbol
_atom_site_fract_x
_atom_site_fract_y
_atom_site_fract_z
Y1 Y 0.000 0.000 0.000
Bi1 Bi 0.000 0.000 0.500
As1 As 0.000 0.500 0.500
As2 As 0.500 0.000 0.500
Ir1 Ir 0.500 0.500 0.000
```

---

Record 6
VASP calculation (PBE) on an optimized crystal structure of NbIrI2N.

Computed properties:
For the energy above the most stable polymorph in this dataset, the calculation gives 0.169 eV per atom. Its density of states at the Fermi level is 5.12 states/eV/f.u. As for the uncorrected formation energy: 0.996 eV/atom. The calculation puts the total magnetization at 2.305 μB/cell. As for the raw total energy: -25.4 eV per formula unit. Its symmetry is P4/mmm (123).

```
data_NbIrI2N
_cell_length_a 5.622
_cell_length_b 5.622
_cell_length_c 3.850
_cell_angle_alpha 90.00
_cell_angle_beta 90.00
_cell_angle_gamma 90.00
_space_group_name_H-M_alt 'P 1'
_space_group_IT_number 1
loop_
_space_group_symop_operation_xyz
'x,y,z'
loop_
_atom_site_label
_atom_site_type_symbol
_atom_site_fract_x
_atom_site_fract_y
_atom_site_fract_z
Nb1 Nb 0.000 0.000 0.000
Ir1 Ir 0.500 0.500 0.500
I1 I 0.000 0.500 0.000
I2 I 0.500 0.000 0.000
N1 N 0.000 0.000 0.500
```

---

Record 7
VASP calculation (PBE) on an optimized crystal structure of Cs2In5Bi4.

Computed properties:
Its density of states at the Fermi level is 6.03 states/eV/f.u. The calculation puts the total magnetization at 0.000 μB/cell. As for the raw total energy: -31.9 eV per formula unit. Its symmetry is Fmmm (69).

```
data_Cs2In5Bi4
_cell_length_a 11.401
_cell_length_b 10.293
_cell_length_c 7.102
_cell_angle_alpha 79.59
_cell_angle_beta 62.62
_cell_angle_gamma 37.78
_space_group_name_H-M_alt 'P 1'
_space_group_IT_number 1
loop_
_space_group_symop_operation_xyz
'x,y,z'
loop_
_atom_site_label
_atom_site_type_symbol
_atom_site_fract_x
_atom_site_fract_y
_atom_site_fract_z
Cs1 Cs 0.135 0.135 0.865
Cs2 Cs 0.865 0.865 0.135
In1 In 0.000 0.000 0.500
In2 In 0.250 0.250 0.250
In3 In 0.500 0.500 0.000
In4 In 0.500 0.500 0.500
In5 In 0.750 0.750 0.750
Bi1 Bi 0.223 0.488 0.512
Bi2 Bi 0.488 0.223 0.777
Bi3 Bi 0.512 0.777 0.223
Bi4 Bi 0.777 0.512 0.488
```

---

Record 8
VASP calculation (PBE) on an optimized crystal structure of SnOsRuN.

Computed properties:
For the energy above the most stable polymorph in this dataset, the calculation gives 0.058 eV per atom. Its density of states at the Fermi level is 4.60 states/eV/f.u. As for the uncorrected formation energy: 0.321 eV/atom. The calculation puts the total magnetization at 0.184 μB/cell. As for the raw total energy: -31.5 eV per formula unit. Its symmetry is Pm (6).

```
data_SnOsRuN
_cell_length_a 2.872
_cell_length_b 3.893
_cell_length_c 5.698
_cell_angle_alpha 90.00
_cell_angle_beta 104.47
_cell_angle_gamma 90.00
_space_group_name_H-M_alt 'P 1'
_space_group_IT_number 1
loop_
_space_group_symop_operation_xyz
'x,y,z'
loop_
_atom_site_label
_atom_site_type_symbol
_atom_site_fract_x
_atom_site_fract_y
_atom_site_fract_z
Sn1 Sn 0.000 0.000 0.000
Os1 Os 0.719 0.000 0.438
Ru1 Ru 0.358 0.500 0.720
N1 N 0.724 0.500 0.448
```

---

Record 9
VASP calculation (PBE) on an optimized crystal structure of SnWCl6.

Computed properties:
Its density of states at the Fermi level is 4.11 states/eV/f.u. As for the uncorrected formation energy: -0.837 eV/atom. The calculation puts the total magnetization at 4.000 μB/cell. As for the raw total energy: -34.7 eV per formula unit. Its symmetry is C2/c (15).

```
data_SnWCl6
_cell_length_a 6.970
_cell_length_b 6.970
_cell_length_c 9.850
_cell_angle_alpha 93.17
_cell_angle_beta 93.17
_cell_angle_gamma 69.90
_space_group_name_H-M_alt 'P 1'
_space_group_IT_number 1
loop_
_space_group_symop_operation_xyz
'x,y,z'
loop_
_atom_site_label
_atom_site_type_symbol
_atom_site_fract_x
_atom_site_fract_y
_atom_site_fract_z
Sn1 Sn 0.028 0.972 0.750
Sn2 Sn 0.972 0.028 0.250
W1 W 0.000 0.500 0.000
W2 W 0.500 0.000 0.500
Cl1 Cl 0.140 0.207 0.492
Cl2 Cl 0.148 0.560 0.211
Cl3 Cl 0.207 0.140 0.992
Cl4 Cl 0.239 0.600 0.882
Cl5 Cl 0.400 0.761 0.618
Cl6 Cl 0.440 0.852 0.289
Cl7 Cl 0.560 0.148 0.711
Cl8 Cl 0.600 0.239 0.382
Cl9 Cl 0.761 0.400 0.118
Cl10 Cl 0.793 0.860 0.008
Cl11 Cl 0.852 0.440 0.789
Cl12 Cl 0.860 0.793 0.508
```

---

Record 10
VASP calculation (PBE) on an optimized crystal structure of FePBr2.

Computed properties:
For the energy above the most stable polymorph in this dataset, the calculation gives 1.206 eV per atom. Its density of states at the Fermi level is 14.24 states/eV/f.u. As for the uncorrected formation energy: 1.157 eV/atom. The calculation puts the total magnetization at 0.001 μB/cell. As for the raw total energy: -12.6 eV per formula unit. Its symmetry is Fm-3m (225).

```
data_FePBr2
_cell_length_a 4.638
_cell_length_b 4.638
_cell_length_c 4.638
_cell_angle_alpha 60.00
_cell_angle_beta 60.00
_cell_angle_gamma 60.00
_space_group_name_H-M_alt 'P 1'
_space_group_IT_number 1
loop_
_space_group_symop_operation_xyz
'x,y,z'
loop_
_atom_site_label
_atom_site_type_symbol
_atom_site_fract_x
_atom_site_fract_y
_atom_site_fract_z
Fe1 Fe 0.000 0.000 0.000
P1 P 0.500 0.500 0.500
Br1 Br 0.250 0.250 0.250
Br2 Br 0.750 0.750 0.750
```

---

Record 11
VASP calculation (PBE) on an optimized crystal structure of Ac6Te3P2Se.

Computed properties:
Its density of states at the Fermi level is 5.48 states/eV/f.u. As for the uncorrected formation energy: -1.616 eV/atom. The calculation puts the total magnetization at 0.000 μB/cell. As for the raw total energy: -67.8 eV per formula unit. Its symmetry is C2/m (12).

```
data_Ac6Te3P2Se
_cell_length_a 10.350
_cell_length_b 10.350
_cell_length_c 9.317
_cell_angle_alpha 104.89
_cell_angle_beta 104.89
_cell_angle_gamma 25.29
_space_group_name_H-M_alt 'P 1'
_space_group_IT_number 1
loop_
_space_group_symop_operation_xyz
'x,y,z'
loop_
_atom_site_label
_atom_site_type_symbol
_atom_site_fract_x
_atom_site_fract_y
_atom_site_fract_z
Ac1 Ac 0.010 0.010 0.243
Ac2 Ac 0.325 0.325 0.436
Ac3 Ac 0.335 0.335 0.892
Ac4 Ac 0.665 0.665 0.108
Ac5 Ac 0.675 0.675 0.564
Ac6 Ac 0.990 0.990 0.757
Te1 Te 0.164 0.164 0.833
Te2 Te 0.500 0.500 0.500
Te3 Te 0.836 0.836 0.167
P1 P 0.167 0.167 0.333
P2 P 0.833 0.833 0.667
Se1 Se 0.500 0.500 0.000
```

---

Record 12
VASP calculation (PBE) on an optimized crystal structure of InAsW2.

Computed properties:
For the energy above the most stable polymorph in this dataset, the calculation gives 0.507 eV per atom. Its density of states at the Fermi level is 3.97 states/eV/f.u. The calculation puts the total magnetization at 0.000 μB/cell. As for the raw total energy: -30.4 eV per formula unit. Its symmetry is I-4m2 (119).

```
data_InAsW2
_cell_length_a 5.010
_cell_length_b 5.010
_cell_length_c 5.010
_cell_angle_alpha 131.26
_cell_angle_beta 131.26
_cell_angle_gamma 71.39
_space_group_name_H-M_alt 'P 1'
_space_group_IT_number 1
loop_
_space_group_symop_operation_xyz
'x,y,z'
loop_
_atom_site_label
_atom_site_type_symbol
_atom_site_fract_x
_atom_site_fract_y
_atom_site_fract_z
In1 In 0.000 0.000 0.000
As1 As 0.750 0.250 0.500
W1 W 0.250 0.750 0.500
W2 W 0.500 0.500 0.000
```